[1]
The following is a DFT calculation (PBE-GGA) of crystalline Nd5Dy at its relaxed geometry.

Unit cell a=5.183 b=10.954 c=7.312 alpha=90.00 beta=90.00 gamma=90.00
Element x y z (fractional)
Nd (0.250, 0.083, 0.124)
Nd (0.250, 0.085, 0.626)
Nd (0.250, 0.415, 0.626)
Nd (0.250, 0.417, 0.124)
Nd (0.250, 0.750, 0.626)
Nd (0.750, 0.250, 0.374)
Nd (0.750, 0.583, 0.876)
Nd (0.750, 0.585, 0.374)
Nd (0.750, 0.915, 0.374)
Nd (0.750, 0.917, 0.876)
Dy (0.250, 0.750, 0.123)
Dy (0.750, 0.250, 0.877)

Summary:
Final energy   -56.72 eV for the cell shown


[2]
The following is a DFT calculation (PBE-GGA) of crystalline Nd7Dy6 at its relaxed geometry.

Unit cell a=12.177 b=12.177 c=12.177 alpha=31.75 beta=31.75 gamma=31.75
Element x y z (fractional)
Nd (0.000, 0.000, 0.000)
Nd (0.094, 0.094, 0.575)
Nd (0.094, 0.575, 0.094)
Nd (0.425, 0.906, 0.906)
Nd (0.575, 0.094, 0.094)
Nd (0.906, 0.425, 0.906)
Nd (0.906, 0.906, 0.425)
Dy (0.165, 0.165, 0.165)
Dy (0.352, 0.352, 0.352)
Dy (0.454, 0.454, 0.454)
Dy (0.546, 0.546, 0.546)
Dy (0.648, 0.648, 0.648)
Dy (0.835, 0.835, 0.835)

Summary:
Final energy   -57.76 eV for the cell shown


[3]
The following is a DFT calculation (PBE-GGA) of crystalline NdDy8 at its relaxed geometry.

Unit cell a=7.955 b=7.955 c=7.955 alpha=95.72 beta=95.72 gamma=143.20
Element x y z (fractional)
Nd (0.000, 0.000, 0.000)
Dy (0.000, 0.334, 0.334)
Dy (0.000, 0.666, 0.666)
Dy (0.333, 0.333, 0.665)
Dy (0.333, 0.667, 0.000)
Dy (0.334, 0.000, 0.334)
Dy (0.666, 0.000, 0.666)
Dy (0.667, 0.333, 0.000)
Dy (0.667, 0.667, 0.335)

Summary:
Final energy   -41.42 eV for the cell shown


[4]
The following is a DFT calculation (PBE-GGA) of crystalline Nd5Dy4 at its relaxed geometry.

Unit cell a=8.097 b=8.097 c=8.097 alpha=95.70 beta=95.70 gamma=143.25
Element x y z (fractional)
Nd (0.000, 0.000, 0.000)
Nd (0.000, 0.331, 0.331)
Nd (0.000, 0.669, 0.669)
Nd (0.331, 0.000, 0.331)
Nd (0.669, 0.000, 0.669)
Dy (0.333, 0.333, 0.667)
Dy (0.333, 0.667, 0.000)
Dy (0.667, 0.333, 0.000)
Dy (0.667, 0.667, 0.333)

Summary:
Energy above the lowest structure with this stoichiometry   0 meV/atom
Final energy   -42.10 eV for the cell shown


[5]
The following is a DFT calculation (PBE-GGA) of crystalline NdDy2 at its relaxed geometry.

Unit cell a=3.620 b=3.620 c=8.909 alpha=101.82 beta=101.82 gamma=59.98
Element x y z (fractional)
Nd (0.000, 0.000, 0.000)
Dy (0.220, 0.220, 0.663)
Dy (0.780, 0.780, 0.337)

Summary:
Energy above the lowest structure with this stoichiometry   0 meV/atom
Final energy   -13.98 eV for the cell shown


[6]
The following is a DFT calculation (PBE-GGA) of crystalline Nd6Dy at its relaxed geometry.

Unit cell a=6.634 b=6.634 c=11.359 alpha=90.00 beta=90.00 gamma=90.00
Element x y z (fractional)
Nd (0.082, 0.582, 0.139)
Nd (0.082, 0.918, 0.861)
Nd (0.250, 0.250, 0.363)
Nd (0.250, 0.250, 0.637)
Nd (0.418, 0.582, 0.861)
Nd (0.418, 0.918, 0.139)
Nd (0.582, 0.082, 0.861)
Nd (0.582, 0.418, 0.139)
Nd (0.750, 0.750, 0.363)
Nd (0.750, 0.750, 0.637)
Nd (0.918, 0.082, 0.139)
Nd (0.918, 0.418, 0.861)
Dy (0.250, 0.750, 0.500)
Dy (0.750, 0.250, 0.500)

Summary:
Energy above the lowest structure with this stoichiometry   0 meV/atom
Final energy   -63.09 eV for the cell shown


[7]
The following is a DFT calculation (PBE-GGA) of crystalline Nd3Dy7 at its relaxed geometry.

Unit cell a=9.473 b=9.473 c=7.179 alpha=100.89 beta=100.89 gamma=31.00
Element x y z (fractional)
Nd (0.000, 0.000, 0.000)
Nd (0.199, 0.199, 0.600)
Nd (0.801, 0.801, 0.400)
Dy (0.000, 0.000, 0.500)
Dy (0.200, 0.200, 0.100)
Dy (0.400, 0.400, 0.199)
Dy (0.401, 0.401, 0.700)
Dy (0.599, 0.599, 0.300)
Dy (0.600, 0.600, 0.801)
Dy (0.800, 0.800, 0.900)

Summary:
Energy above the lowest structure with this stoichiometry   0 meV/atom
Final energy   -46.35 eV for the cell shown


[8]
The following is a DFT calculation (PBE-GGA) of crystalline NdDy2 at its relaxed geometry.

Unit cell a=17.545 b=17.545 c=17.545 alpha=11.79 beta=11.79 gamma=11.79
Element x y z (fractional)
Nd (0.084, 0.084, 0.084)
Nd (0.916, 0.916, 0.916)
Dy (0.194, 0.194, 0.194)
Dy (0.361, 0.361, 0.361)
Dy (0.639, 0.639, 0.639)
Dy (0.806, 0.806, 0.806)

Summary:
Energy above the lowest structure with this stoichiometry   10 meV/atom
Final energy   -27.91 eV for the cell shown


[9]
The following is a DFT calculation (PBE-GGA) of crystalline Nd2Dy at its relaxed geometry.

Unit cell a=6.686 b=6.686 c=6.686 alpha=60.00 beta=60.00 gamma=60.00
Element x y z (fractional)
Nd (0.000, 0.000, 0.000)
Nd (0.000, 0.000, 0.500)
Nd (0.000, 0.500, 0.000)
Nd (0.500, 0.000, 0.000)
Dy (0.375, 0.375, 0.375)
Dy (0.625, 0.625, 0.625)

Summary:
Energy above the lowest structure with this stoichiometry   244 meV/atom
Final energy   -26.69 eV for the cell shown


[10]
The following is a DFT calculation (PBE-GGA) of crystalline Nd7Dy2 at its relaxed geometry.

Unit cell a=6.326 b=6.326 c=8.929 alpha=90.00 beta=90.00 gamma=120.00
Element x y z (fractional)
Nd (0.000, 0.000, 0.000)
Nd (0.000, 0.334, 0.670)
Nd (0.000, 0.666, 0.330)
Nd (0.334, 0.000, 0.670)
Nd (0.334, 0.334, 0.330)
Nd (0.666, 0.000, 0.330)
Nd (0.666, 0.666, 0.670)
Dy (0.333, 0.667, 0.000)
Dy (0.667, 0.333, 0.000)

Summary:
Energy above the lowest structure with this stoichiometry   0 meV/atom
Final energy   -42.45 eV for the cell shown


[11]
The following is a DFT calculation (PBE-GGA) of crystalline Nd3Dy8 at its relaxed geometry.

Unit cell a=32.095 b=32.095 c=32.095 alpha=6.40 beta=6.40 gamma=6.40
Element x y z (fractional)
Nd (0.000, 0.000, 0.000)
Nd (0.272, 0.272, 0.272)
Nd (0.728, 0.728, 0.728)
Dy (0.092, 0.092, 0.092)
Dy (0.182, 0.182, 0.182)
Dy (0.364, 0.364, 0.364)
Dy (0.455, 0.455, 0.455)
Dy (0.545, 0.545, 0.545)
Dy (0.636, 0.636, 0.636)
Dy (0.818, 0.818, 0.818)
Dy (0.908, 0.908, 0.908)

Summary:
Energy above the lowest structure with this stoichiometry   0 meV/atom
Final energy   -50.94 eV for the cell shown


[12]
The following is a DFT calculation (PBE-GGA) of crystalline Nd3Dy5 at its relaxed geometry.

Unit cell a=7.189 b=7.189 c=5.081 alpha=90.00 beta=90.00 gamma=90.14
Element x y z (fractional)
Nd (0.000, 0.000, 0.000)
Nd (0.252, 0.748, 0.500)
Nd (0.748, 0.252, 0.500)
Dy (0.000, 0.500, 0.000)
Dy (0.251, 0.251, 0.500)
Dy (0.500, 0.000, 0.000)
Dy (0.500, 0.500, 0.000)
Dy (0.749, 0.749, 0.500)

Summary:
Energy above the lowest structure with this stoichiometry   0 meV/atom
Final energy   -37.18 eV for the cell shown


[13]
The following is a DFT calculation (PBE-GGA) of crystalline Nd2Dy3 at its relaxed geometry.

Unit cell a=6.224 b=6.224 c=8.040 alpha=130.07 beta=130.07 gamma=48.24
Element x y z (fractional)
Nd (0.201, 0.201, 0.300)
Nd (0.799, 0.799, 0.700)
Dy (0.000, 0.000, 0.500)
Dy (0.398, 0.398, 0.098)
Dy (0.602, 0.602, 0.902)

Summary:
Final energy   -23.25 eV for the cell shown


[14]
The following is a DFT calculation (PBE-GGA) of crystalline Nd2Dy at its relaxed geometry.

Unit cell a=16.922 b=16.922 c=16.922 alpha=168.04 beta=168.04 gamma=16.94
Element x y z (fractional)
Nd (0.297, 0.547, 0.750)
Nd (0.453, 0.703, 0.750)
Nd (0.547, 0.297, 0.250)
Nd (0.703, 0.453, 0.250)
Dy (0.125, 0.875, 0.250)
Dy (0.875, 0.125, 0.750)

Summary:
Energy above the lowest structure with this stoichiometry   113 meV/atom
Final energy   -27.48 eV for the cell shown


[15]
The following is a DFT calculation (PBE-GGA) of crystalline Nd4Dy5 at its relaxed geometry.

Unit cell a=8.062 b=8.062 c=8.062 alpha=95.70 beta=95.70 gamma=143.25
Element x y z (fractional)
Nd (0.167, 0.167, 0.333)
Nd (0.167, 0.833, 0.000)
Nd (0.833, 0.167, 0.000)
Nd (0.833, 0.833, 0.667)
Dy (0.165, 0.500, 0.665)
Dy (0.500, 0.165, 0.665)
Dy (0.500, 0.500, 0.000)
Dy (0.500, 0.835, 0.335)
Dy (0.835, 0.500, 0.335)

Summary:
Final energy   -41.93 eV for the cell shown


[16]
The following is a DFT calculation (PBE-GGA) of crystalline Nd3Dy5 at its relaxed geometry.

Unit cell a=3.596 b=3.596 c=20.325 alpha=90.00 beta=90.00 gamma=90.00
Element x y z (fractional)
Nd (0.000, 0.000, 0.000)
Nd (0.500, 0.500, 0.374)
Nd (0.500, 0.500, 0.626)
Dy (0.000, 0.000, 0.248)
Dy (0.000, 0.000, 0.500)
Dy (0.000, 0.000, 0.752)
Dy (0.500, 0.500, 0.126)
Dy (0.500, 0.500, 0.874)

Summary:
Energy above the lowest structure with this stoichiometry   3 meV/atom
Final energy   -37.15 eV for the cell shown


[17]
The following is a DFT calculation (PBE-GGA) of crystalline Nd7Dy2 at its relaxed geometry.

Unit cell a=9.999 b=9.999 c=3.580 alpha=90.00 beta=90.00 gamma=120.00
Element x y z (fractional)
Nd (0.000, 0.000, 0.000)
Nd (0.000, 0.361, 0.000)
Nd (0.000, 0.691, 0.500)
Nd (0.309, 0.309, 0.500)
Nd (0.361, 0.000, 0.000)
Nd (0.639, 0.639, 0.000)
Nd (0.691, 0.000, 0.500)
Dy (0.333, 0.667, 0.500)
Dy (0.667, 0.333, 0.500)

Summary:
Energy above the lowest structure with this stoichiometry   24 meV/atom
Final energy   -42.23 eV for the cell shown


[18]
The following is a DFT calculation (PBE-GGA) of crystalline Nd3Dy7 at its relaxed geometry.

Unit cell a=10.808 b=10.808 c=6.515 alpha=90.00 beta=90.00 gamma=120.00
Element x y z (fractional)
Nd (0.203, 0.407, 0.000)
Nd (0.203, 0.797, 0.000)
Nd (0.407, 0.203, 0.500)
Nd (0.593, 0.797, 0.000)
Nd (0.797, 0.203, 0.500)
Nd (0.797, 0.593, 0.500)
Dy (0.059, 0.529, 0.345)
Dy (0.121, 0.242, 0.519)
Dy (0.121, 0.879, 0.519)
Dy (0.242, 0.121, 0.019)
Dy (0.333, 0.667, 0.653)
Dy (0.471, 0.529, 0.345)
Dy (0.471, 0.941, 0.345)
Dy (0.529, 0.059, 0.845)
Dy (0.529, 0.471, 0.845)
Dy (0.667, 0.333, 0.153)
Dy (0.758, 0.879, 0.519)
Dy (0.879, 0.121, 0.019)
Dy (0.879, 0.758, 0.019)
Dy (0.941, 0.471, 0.845)

Summary:
Energy above the lowest structure with this stoichiometry   161 meV/atom
Final energy   -89.47 eV for the cell shown


[19]
The following is a DFT calculation (PBE-GGA) of crystalline Nd2Dy at its relaxed geometry.

Unit cell a=8.128 b=8.128 c=8.128 alpha=154.13 beta=154.13 gamma=36.92
Element x y z (fractional)
Nd (0.165, 0.165, 0.000)
Nd (0.835, 0.835, 0.000)
Dy (0.500, 0.500, 0.000)

Summary:
Energy above the lowest structure with this stoichiometry   0 meV/atom
Final energy   -14.08 eV for the cell shown


[20]
The following is a DFT calculation (PBE-GGA) of crystalline Nd6Dy at its relaxed geometry.

Unit cell a=7.102 b=7.102 c=7.102 alpha=109.47 beta=109.47 gamma=109.47
Element x y z (fractional)
Nd (0.250, 0.500, 0.750)
Nd (0.250, 0.750, 0.500)
Nd (0.500, 0.250, 0.750)
Nd (0.500, 0.750, 0.250)
Nd (0.750, 0.250, 0.500)
Nd (0.750, 0.500, 0.250)
Dy (0.000, 0.000, 0.000)

Summary:
Energy above the lowest structure with this stoichiometry   1009 meV/atom
Final energy   -24.48 eV for the cell shown


[21]
The following is a DFT calculation (PBE-GGA) of crystalline Nd5Dy3 at its relaxed geometry.

Unit cell a=3.636 b=3.636 c=20.493 alpha=90.00 beta=90.00 gamma=90.00
Element x y z (fractional)
Nd (0.000, 0.000, 0.000)
Nd (0.000, 0.000, 0.248)
Nd (0.000, 0.000, 0.752)
Nd (0.500, 0.500, 0.376)
Nd (0.500, 0.500, 0.624)
Dy (0.000, 0.000, 0.500)
Dy (0.500, 0.500, 0.123)
Dy (0.500, 0.500, 0.877)

Summary:
Final energy   -37.49 eV for the cell shown


[22]
The following is a DFT calculation (PBE-GGA) of crystalline Nd6Dy5 at its relaxed geometry.

Unit cell a=8.483 b=8.483 c=6.113 alpha=106.39 beta=106.39 gamma=104.90
Element x y z (fractional)
Nd (0.047, 0.324, 0.606)
Nd (0.183, 0.183, 0.084)
Nd (0.324, 0.047, 0.606)
Nd (0.676, 0.953, 0.394)
Nd (0.817, 0.817, 0.916)
Nd (0.953, 0.676, 0.394)
Dy (0.233, 0.767, 0.000)
Dy (0.370, 0.630, 0.500)
Dy (0.500, 0.500, 0.000)
Dy (0.630, 0.370, 0.500)
Dy (0.767, 0.233, 0.000)

Summary:
Final energy   -50.27 eV for the cell shown


[23]
The following is a DFT calculation (PBE-GGA) of crystalline Nd5Dy at its relaxed geometry.

Unit cell a=8.190 b=8.190 c=5.170 alpha=90.00 beta=90.00 gamma=143.20
Element x y z (fractional)
Nd (0.000, 0.000, 0.000)
Nd (0.165, 0.835, 0.500)
Nd (0.334, 0.666, 0.000)
Nd (0.666, 0.334, 0.000)
Nd (0.835, 0.165, 0.500)
Dy (0.500, 0.500, 0.500)

Summary:
Final energy   -28.36 eV for the cell shown


[24]
The following is a DFT calculation (PBE-GGA) of crystalline Nd7Dy3 at its relaxed geometry.

Unit cell a=9.634 b=9.634 c=7.270 alpha=101.09 beta=101.09 gamma=30.99
Element x y z (fractional)
Nd (0.000, 0.000, 0.000)
Nd (0.200, 0.200, 0.601)
Nd (0.399, 0.399, 0.199)
Nd (0.400, 0.400, 0.701)
Nd (0.600, 0.600, 0.299)
Nd (0.601, 0.601, 0.801)
Nd (0.800, 0.800, 0.399)
Dy (0.000, 0.000, 0.500)
Dy (0.201, 0.201, 0.100)
Dy (0.799, 0.799, 0.900)

Summary:
Energy above the lowest structure with this stoichiometry   0 meV/atom
Final energy   -47.04 eV for the cell shown